## TbTmGa2Ir4 (PBE)

Data for a relaxed structure of TbTmGa2Ir4.

```
TbTmGa2Ir4
1.0
4.3312 0.0000 0.0000
-2.1656 3.7509 0.0000
0.0000 0.0000 8.9954
Tb Tm Ga Ir
1 1 2 4
Cartesian
0.0000 0.0000 0.0000
2.1656 1.2503 4.4977
0.0000 2.5006 2.2862
0.0000 2.5006 6.7091
0.0000 0.0000 3.0580
0.0000 0.0000 5.9374
2.1656 1.2503 1.5690
2.1656 1.2503 7.4264
```

Computed properties:
**E_tot**: -6.9067 eV/atom

---

## TbTmGa4Ir2 (PBE)

Data for a relaxed structure of TbTmGa4Ir2.

```
TbTmGa4Ir2
1.0
6.9475 0.0000 0.0000
0.0000 2.1171 5.0319
0.0000 -2.1171 5.0319
Tb Tm Ga Ir
1 1 4 2
Cartesian
0.0000 0.0000 0.0000
3.4738 0.0000 8.5220
1.3774 0.0000 2.8641
2.1134 0.0000 5.6700
4.8341 0.0000 5.6700
5.5701 0.0000 2.8641
0.0000 0.0000 7.1856
3.4738 0.0000 1.3437
```

Computed properties:
**E_tot**: -5.6162 eV/atom

---

## TbYGa4Ir2 (PBE)

Data for a relaxed structure of TbYGa4Ir2.

```
TbYGa4Ir2
1.0
6.8876 0.0000 0.0000
0.0000 2.1332 5.0777
0.0000 -2.1332 5.0777
Tb Y Ga Ir
1 1 4 2
Cartesian
0.0000 0.0000 0.0000
3.4438 0.0000 1.5823
1.3523 0.0000 7.2820
2.0983 0.0000 4.4551
4.7893 0.0000 4.4551
5.5353 0.0000 7.2820
0.0000 0.0000 2.9089
3.4438 0.0000 8.8286
```

Computed properties:
**E_tot**: -5.8664 eV/atom

---

## TbZrGa4Ir2 (PBE)

Data for a relaxed structure of TbZrGa4Ir2.

```
TbZrGa4Ir2
1.0
6.6693 0.0000 0.0000
0.0000 2.1346 4.9963
0.0000 -2.1346 4.9963
Tb Zr Ga Ir
1 1 4 2
Cartesian
0.0000 0.0000 0.0000
3.3347 0.0000 1.6329
1.3607 0.0000 7.1289
2.0386 0.0000 4.4787
4.6308 0.0000 4.4787
5.3086 0.0000 7.1289
0.0000 0.0000 2.8782
3.3347 0.0000 8.7662
```

Computed properties:
**E_tot**: -6.0745 eV/atom

---

## GaTcIr (PBE)

Data for a relaxed structure of GaTcIr.

```
GaTcIr
1.0
0.0000 2.9472 2.9472
2.9472 0.0000 2.9472
2.9472 2.9472 0.0000
Ga Tc Ir
1 1 1
Cartesian
0.0000 0.0000 0.0000
1.4736 1.4736 1.4736
2.9472 2.9472 2.9472
```

Computed properties:
**E_tot**: -7.2706 eV/atom

---

## ThGa4Ir2 (PBE)

Data for a relaxed structure of ThGa4Ir2.

```
ThGa4Ir2
1.0
4.0303 0.0000 0.0000
-2.0151 3.4903 0.0000
0.0000 0.0000 11.5747
Th Ga Ir
1 4 2
Cartesian
0.0000 0.0000 0.0000
0.0000 0.0000 4.4102
0.0000 0.0000 8.5599
0.0000 2.3269 2.3909
0.0000 2.3269 7.2965
0.0000 2.3269 4.8408
2.0151 1.1634 9.8623
```

Computed properties:
**E_tot**: -5.4069 eV/atom

---

## Th2Ga5Ir3 (PBE)

Data for a relaxed structure of Th2Ga5Ir3.

```
Th2Ga5Ir3
1.0
-5.0917 6.3668 2.9084
5.0917 -6.3668 2.9084
5.0917 6.3668 -2.9084
Th Ga Ir
4 10 6
Cartesian
2.2884 1.7725 0.0000
2.2884 -1.7725 2.9084
2.8033 8.1393 0.0000
2.8033 4.5942 2.9084
5.0917 -2.6401 1.4542
6.7760 1.1713 0.0000
0.0000 0.0000 1.4542
1.6843 5.1954 0.0000
5.0917 2.6401 1.4542
0.0000 3.7267 1.4542
3.4075 1.1713 2.9084
0.0000 0.0000 4.3626
-1.6843 5.1954 2.9084
0.0000 9.0068 1.4542
4.0558 -4.4675 2.9084
5.0917 0.0000 1.4542
4.0558 4.4675 0.0000
1.0359 1.8993 2.9084
0.0000 6.3668 1.4542
1.0359 10.8342 0.0000
```

Computed properties:
**E_tot**: -6.4250 eV/atom

---

## TlGa2Ir (PBE)

Data for a relaxed structure of TlGa2Ir.

```
TlGa2Ir
1.0
0.0000 3.3421 3.3421
3.3421 0.0000 3.3421
3.3421 3.3421 0.0000
Tl Ga Ir
1 2 1
Cartesian
0.0000 0.0000 0.0000
3.3421 3.3421 3.3421
5.0132 5.0132 5.0132
1.6711 1.6711 1.6711
```

Computed properties:
**E_tot**: -3.9990 eV/atom

---

- Which formula does entry 1 have?
  TbTmGa2Ir4

---

- What is the formula in the sixth record?
  ThGa4Ir2

---

- Among the records above, which one has the highest E_tot?
  TlGa2Ir

---

- The lowest E_tot belongs to which entry?
  GaTcIr